The following is a DFT calculation (PBE-GGA) of crystalline Cs3AgSn2I9 at its relaxed geometry.

```
15
Lattice="8.6389 0.0000 0.0000 -4.3195 7.4815 0.0000 0.0000 0.0000 10.5878" Properties=species:S:1:pos:R:3 pbc="T T T"
Cs 0.0000 0.0000 0.0000
Cs 0.0000 4.9877 7.0229
Cs 4.3195 2.4938 3.5649
Ag 0.0000 0.0000 5.2939
Sn 0.0000 4.9877 1.8917
Sn 4.3195 2.4938 8.6962
I -2.1597 3.7408 0.0000
I 0.0000 2.4571 3.5727
I -2.1915 6.2530 3.5727
I 2.1279 1.2285 7.0151
I 4.3195 0.0000 0.0000
I 2.1597 3.7408 0.0000
I 2.1915 6.2530 3.5727
I 6.5110 1.2285 7.0151
I 4.3195 5.0244 7.0151
```

Computed properties:
Density (Mg/m³): 4.58
DOS at the Fermi energy (states/eV/atom): 0.242
Symmetry: P-3m1 (164)
ΔE_f (raw) (eV per atom): -0.871
Crystal system: trigonal